Entry 1:
DFT (GGA-PBE) results for a relaxed structure of Mg3Ir.

ΔE_f = -195 meV/atom
Volume = 17.6 A^3/atom

a = 5.205 Å, b = 5.205 Å, c = 5.205 Å
α = 90.00°, β = 90.00°, γ = 90.00°
Element x y z (fractional)
1 Mg 0.000 0.250 0.500
2 Mg 0.000 0.750 0.500
3 Mg 0.250 0.500 0.000
4 Mg 0.500 0.000 0.250
5 Mg 0.500 0.000 0.750
6 Mg 0.750 0.500 0.000
7 Ir 0.000 0.000 0.000
8 Ir 0.500 0.500 0.500

---

Entry 2:
DFT (GGA-PBE) results for a relaxed structure of MgIr.

ΔE_f = -155 meV/atom
Volume = 17.2 A^3/atom

a = 8.348 Å, b = 7.705 Å, c = 4.632 Å
α = 81.03°, β = 65.74°, γ = 33.23°
Element x y z (fractional)
1 Mg 0.041 0.709 0.041
2 Mg 0.291 0.959 0.291
3 Mg 0.709 0.041 0.709
4 Mg 0.959 0.291 0.959
5 Ir 0.289 0.289 0.461
6 Ir 0.461 0.461 0.289
7 Ir 0.539 0.539 0.711
8 Ir 0.711 0.711 0.539

---

Entry 3:
DFT (GGA-PBE) results for a relaxed structure of MgIr.

ΔE_f = -210 meV/atom
Volume = 19.0 A^3/atom

a = 7.909 Å, b = 7.909 Å, c = 4.220 Å
α = 90.00°, β = 90.00°, γ = 120.00°
Element x y z (fractional)
1 Mg 0.180 0.360 0.250
2 Mg 0.180 0.820 0.250
3 Mg 0.360 0.180 0.750
4 Mg 0.640 0.820 0.250
5 Mg 0.820 0.180 0.750
6 Mg 0.820 0.640 0.750
7 Ir 0.111 0.555 0.750
8 Ir 0.445 0.555 0.750
9 Ir 0.445 0.889 0.750
10 Ir 0.555 0.111 0.250
11 Ir 0.555 0.445 0.250
12 Ir 0.889 0.445 0.250

---

Entry 4:
DFT (GGA-PBE) results for a relaxed structure of Mg4Ir5.

Energy above the most stable polymorph in this dataset = 0.000 eV per atom
ΔE_f = -141 meV/atom
Volume = 15.9 A^3/atom

a = 6.325 Å, b = 6.325 Å, c = 6.325 Å
α = 95.65°, β = 95.65°, γ = 143.43°
Element x y z (fractional)
1 Mg 0.000 0.308 0.308
2 Mg 0.000 0.692 0.692
3 Mg 0.308 0.000 0.308
4 Mg 0.692 0.000 0.692
5 Ir 0.000 0.000 0.000
6 Ir 0.335 0.335 0.671
7 Ir 0.335 0.665 0.000
8 Ir 0.665 0.335 0.000
9 Ir 0.665 0.665 0.329

---

Entry 5:
DFT (GGA-PBE) results for a relaxed structure of Mg3Ir.

ΔE_f = -182 meV/atom
Volume = 17.9 A^3/atom

a = 3.079 Å, b = 3.877 Å, c = 6.017 Å
α = 90.00°, β = 91.98°, γ = 90.00°
Element x y z (fractional)
1 Mg 0.000 0.000 0.000
2 Mg 0.498 0.500 0.716
3 Mg 0.502 0.500 0.284
4 Ir 0.000 0.000 0.500

---

Entry 6:
DFT (GGA-PBE) results for a relaxed structure of MgIr2.

ΔE_f = -196 meV/atom
Volume = 15.4 A^3/atom

a = 6.320 Å, b = 6.320 Å, c = 6.320 Å
α = 154.67°, β = 154.67°, γ = 36.13°
Element x y z (fractional)
1 Mg 0.000 0.000 0.000
2 Ir 0.325 0.325 0.000
3 Ir 0.675 0.675 0.000

---

Entry 7:
DFT (GGA-PBE) results for a relaxed structure of MgIr2.

ΔE_f = -93 meV/atom
Volume = 15.1 A^3/atom

a = 2.785 Å, b = 2.785 Å, c = 6.749 Å
α = 90.00°, β = 90.00°, γ = 120.00°
Element x y z (fractional)
1 Mg 0.000 0.000 0.000
2 Ir 0.333 0.667 0.664
3 Ir 0.667 0.333 0.336

---

Entry 8:
DFT (GGA-PBE) results for a relaxed structure of MgIr3.

ΔE_f = -106 meV/atom
Volume = 14.8 A^3/atom

a = 5.546 Å, b = 5.546 Å, c = 8.902 Å
α = 90.00°, β = 90.00°, γ = 120.00°
Element x y z (fractional)
1 Mg 0.000 0.000 0.000
2 Mg 0.000 0.000 0.500
3 Mg 0.333 0.667 0.250
4 Mg 0.667 0.333 0.750
5 Ir 0.000 0.500 0.000
6 Ir 0.000 0.500 0.500
7 Ir 0.164 0.328 0.750
8 Ir 0.164 0.836 0.750
9 Ir 0.328 0.164 0.250
10 Ir 0.500 0.000 0.000
11 Ir 0.500 0.000 0.500
12 Ir 0.500 0.500 0.000
13 Ir 0.500 0.500 0.500
14 Ir 0.672 0.836 0.750
15 Ir 0.836 0.164 0.250
16 Ir 0.836 0.672 0.250

---

| no. | M_tot (μB per formula unit) |
| --- | --- |
| 1 | 0.0 |
| 2 | 0.0 |
| 3 | 0.0 |
| 4 | 0.0 |
| 5 | 0.0 |
| 6 | 0.0 |
| 7 | 0.0 |
| 8 | 0.0 |